No. 1
CeCuPbSe4: optimized geometry, PBE-GGA.

Structure (CIF):
```
data_CeCuPbSe4
_cell_length_a 7.204
_cell_length_b 5.796
_cell_length_c 8.752
_cell_angle_alpha 90.00
_cell_angle_beta 107.18
_cell_angle_gamma 90.00
_space_group_name_H-M_alt 'P 1'
_space_group_IT_number 1
loop_
_space_group_symop_operation_xyz
'x,y,z'
loop_
_atom_site_label
_atom_site_type_symbol
_atom_site_fract_x
_atom_site_fract_y
_atom_site_fract_z
Ce1 Ce 0.733 0.750 0.441
Ce2 Ce 0.267 0.250 0.559
Cu1 Cu 0.253 0.750 0.325
Cu2 Cu 0.747 0.250 0.675
Pb1 Pb 0.719 0.750 0.949
Pb2 Pb 0.281 0.250 0.051
Se1 Se 0.020 0.510 0.730
Se2 Se 0.980 0.010 0.270
Se3 Se 0.980 0.490 0.270
Se4 Se 0.020 0.990 0.730
Se5 Se 0.433 0.750 0.130
Se6 Se 0.567 0.250 0.870
Se7 Se 0.427 0.750 0.602
Se8 Se 0.573 0.250 0.398
```

## Properties
N(E_F) (states/eV per atom): 0.4308
Formation energy without anion corrections (meV/atom): -897

No. 2
ZrMn2Mo2: optimized geometry, PBE-GGA.

Structure (CIF):
```
data_ZrMn2Mo2
_cell_length_a 4.113
_cell_length_b 4.113
_cell_length_c 5.624
_cell_angle_alpha 68.55
_cell_angle_beta 68.55
_cell_angle_gamma 90.00
_space_group_name_H-M_alt 'P 1'
_space_group_IT_number 1
loop_
_space_group_symop_operation_xyz
'x,y,z'
loop_
_atom_site_label
_atom_site_type_symbol
_atom_site_fract_x
_atom_site_fract_y
_atom_site_fract_z
Mo1 Mo 0.750 0.250 0.500
Mo2 Mo 0.250 0.750 0.500
Mn1 Mn 0.385 0.385 0.230
Mn2 Mn 0.615 0.615 0.770
Zr1 Zr 0.000 0.000 0.000
```

## Properties
Distance to the lowest polymorph of the same formula (meV per atom): 0
N(E_F) (states/eV per atom): 0.9562
E_form (eV per atom): 0.104

No. 3
InPRh2: optimized geometry, PBE-GGA.

Structure (CIF):
```
data_InPRh2
_cell_length_a 5.900
_cell_length_b 5.900
_cell_length_c 6.448
_cell_angle_alpha 62.77
_cell_angle_beta 62.77
_cell_angle_gamma 90.00
_space_group_name_H-M_alt 'P 1'
_space_group_IT_number 1
loop_
_space_group_symop_operation_xyz
'x,y,z'
loop_
_atom_site_label
_atom_site_type_symbol
_atom_site_fract_x
_atom_site_fract_y
_atom_site_fract_z
P1 P 0.500 0.500 0.000
P2 P 0.250 0.750 0.500
Rh1 Rh 0.560 0.125 0.250
Rh2 Rh 0.190 0.625 0.250
Rh3 Rh 0.375 0.440 0.750
Rh4 Rh 0.875 0.810 0.750
In1 In 0.000 0.000 0.000
In2 In 0.750 0.250 0.500
```

## Properties
N(E_F) (states/eV per atom): 0.5714
E_form (eV per atom): -0.101

No. 4
Sr8Bi5Au: optimized geometry, PBE-GGA.

Structure (CIF):
```
data_Sr8Bi5Au
_cell_length_a 8.809
_cell_length_b 8.809
_cell_length_c 8.809
_cell_angle_alpha 109.52
_cell_angle_beta 109.37
_cell_angle_gamma 109.52
_space_group_name_H-M_alt 'P 1'
_space_group_IT_number 1
loop_
_space_group_symop_operation_xyz
'x,y,z'
loop_
_atom_site_label
_atom_site_type_symbol
_atom_site_fract_x
_atom_site_fract_y
_atom_site_fract_z
Sr1 Sr 0.131 0.755 0.026
Sr2 Sr 0.974 0.105 0.729
Sr3 Sr 0.753 0.242 0.360
Sr4 Sr 0.640 0.393 0.882
Sr5 Sr 0.490 0.607 0.247
Sr6 Sr 0.624 0.895 0.869
Sr7 Sr 0.271 0.245 0.376
Sr8 Sr 0.118 0.758 0.510
Bi1 Bi 0.013 0.380 0.132
Bi2 Bi 0.868 0.881 0.248
Bi3 Bi 0.752 0.620 0.633
Bi4 Bi 0.500 0.000 0.500
Bi5 Bi 0.367 0.119 0.987
Au1 Au 0.250 0.500 0.750
```

## Properties
E_form (eV per atom): -0.888